Record 1
AlCoSb2I | PBE-GGA | relaxed

Summary:
raw formation energy: 0.465 eV/atom
total magnetization: 0.00 μB per cell
crystal system: tetragonal
symmetry: P4/mmm

Structure (POSCAR):
```
AlCoSb2I
1.0
4.877 0.000 0.000
0.000 4.877 0.000
0.000 0.000 5.715
Co Sb Al I
1 2 1 1
Direct
0.000 0.000 0.000 Co
0.500 0.000 0.000 Sb
0.000 0.500 0.000 Sb
0.500 0.500 0.500 Al
0.000 0.000 0.500 I
```

Record 2
AlCoSbI2 | PBE-GGA | relaxed

Summary:
raw formation energy: 0.391 eV/atom
total magnetization: 0.00 μB per cell
crystal system: tetragonal
symmetry: P4/mmm
excess energy over the best structure of this formula in the dataset: 0.000 eV/atom

Structure (POSCAR):
```
AlCoSbI2
1.0
-4.640 -0.363 -3.055
1.306 -5.238 -1.360
-2.370 -1.574 3.786
I Co Sb Al
2 1 1 1
Direct
0.000 0.500 0.000 I
0.500 0.000 0.000 I
0.000 0.000 0.000 Co
0.000 0.000 0.500 Sb
0.500 0.500 0.500 Al
```

Record 3
AlCoSbI2 | PBE-GGA | relaxed

Summary:
raw formation energy: 0.851 eV/atom
total magnetization: 2.43 μB per cell
crystal system: tetragonal
symmetry: P4/mmm
excess energy over the best structure of this formula in the dataset: 0.461 eV/atom

Structure (POSCAR):
```
AlCoSbI2
1.0
5.451 0.000 0.000
0.000 5.451 0.000
0.000 0.000 5.517
Sb I Co Al
1 2 1 1
Direct
0.000 0.000 0.500 Sb
0.500 0.000 0.000 I
0.000 0.500 0.000 I
0.500 0.500 0.500 Co
0.000 0.000 0.000 Al
```

Record 4
Sm6AlCo2I3 | PBE-GGA | relaxed

Summary:
raw formation energy: -0.567 eV/atom
total magnetization: 0.00 μB per cell
crystal system: monoclinic
symmetry: C2/m

Structure (POSCAR):
```
Sm6AlCo2I3
1.0
-0.461 -2.430 3.183
5.512 -6.476 -4.146
5.702 7.453 3.965
Sm I Co Al
6 3 2 1
Direct
0.969 0.746 0.939 Sm
0.664 0.147 0.327 Sm
0.031 0.254 0.061 Sm
0.336 0.853 0.673 Sm
0.684 0.557 0.368 Sm
0.316 0.443 0.632 Sm
0.162 0.841 0.324 I
0.500 0.500 0.000 I
0.838 0.159 0.676 I
0.828 0.651 0.655 Co
0.172 0.349 0.345 Co
0.500 0.000 0.000 Al
```

Record 5
Al2CoSnI | PBE-GGA | relaxed

Summary:
raw formation energy: 0.750 eV/atom
total magnetization: 1.80 μB per cell
crystal system: tetragonal
symmetry: P4/mmm

Structure (POSCAR):
```
Al2CoSnI
1.0
-1.012 -4.431 -3.108
4.761 -0.228 -1.225
0.959 -3.259 4.334
I Al Co Sn
1 2 1 1
Direct
0.500 0.500 0.500 I
0.500 0.000 0.000 Al
0.000 0.000 0.500 Al
0.000 0.500 0.000 Co
0.000 0.000 0.000 Sn
```

Record 6
AlCoTe2I | PBE-GGA | relaxed

Summary:
raw formation energy: 1.027 eV/atom
total magnetization: 2.06 μB per cell
crystal system: tetragonal
symmetry: P4/mmm
excess energy over the best structure of this formula in the dataset: 0.647 eV/atom

Structure (POSCAR):
```
AlCoTe2I
1.0
-2.108 4.422 -3.621
-4.298 -0.599 1.772
1.209 4.117 4.324
Te Al Co I
2 1 1 1
Direct
0.000 0.000 0.500 Te
0.500 0.000 0.000 Te
0.500 0.500 0.500 Al
0.000 0.500 0.000 Co
0.000 0.000 0.000 I
```

Record 7
AlCoTeI2 | PBE-GGA | relaxed

Summary:
raw formation energy: 0.675 eV/atom
total magnetization: 2.53 μB per cell
crystal system: tetragonal
symmetry: P4/mmm
excess energy over the best structure of this formula in the dataset: 0.352 eV/atom

Structure (POSCAR):
```
AlCoTeI2
1.0
-3.082 4.517 -0.065
-2.496 -1.638 4.582
3.805 2.640 3.016
Te I Co Al
1 2 1 1
Direct
0.000 0.000 0.500 Te
0.000 0.500 0.000 I
0.500 0.000 0.000 I
0.500 0.500 0.500 Co
0.000 0.000 0.000 Al
```

Record 8
AlCoTe2I | PBE-GGA | relaxed

Summary:
raw formation energy: 0.380 eV/atom
total magnetization: 1.90 μB per cell
crystal system: tetragonal
symmetry: P4/mmm
excess energy over the best structure of this formula in the dataset: 0.000 eV/atom

Structure (POSCAR):
```
AlCoTe2I
1.0
-0.950 -2.605 -4.172
3.775 -3.109 1.082
-3.602 -3.359 2.918
Te I Co Al
2 1 1 1
Direct
0.500 0.000 0.000 Te
0.000 0.500 0.000 Te
0.000 0.000 0.500 I
0.000 0.000 0.000 Co
0.500 0.500 0.500 Al
```

Record 9
AlCoTe2I | PBE-GGA | relaxed

Summary:
raw formation energy: 0.792 eV/atom
total magnetization: 2.89 μB per cell
crystal system: tetragonal
symmetry: P4/mmm
excess energy over the best structure of this formula in the dataset: 0.412 eV/atom

Structure (POSCAR):
```
AlCoTe2I
1.0
5.380 0.000 0.000
0.000 5.380 0.000
0.000 0.000 5.407
I Co Te Al
1 1 2 1
Direct
0.000 0.000 0.500 I
0.500 0.500 0.500 Co
0.000 0.500 0.000 Te
0.500 0.000 0.000 Te
0.000 0.000 0.000 Al
```

Record 10
AlCoTeI2 | PBE-GGA | relaxed

Summary:
raw formation energy: 0.323 eV/atom
total magnetization: 1.38 μB per cell
crystal system: tetragonal
symmetry: P4/mmm
excess energy over the best structure of this formula in the dataset: 0.000 eV/atom

Structure (POSCAR):
```
AlCoTeI2
1.0
-2.311 2.204 4.488
1.098 -4.600 2.824
4.340 1.850 1.327
I Al Te Co
2 1 1 1
Direct
0.000 0.500 0.000 I
0.500 0.000 0.000 I
0.500 0.500 0.500 Al
0.000 0.000 0.500 Te
0.000 0.000 0.000 Co
```

Record 11
AlInCo2 | PBE-GGA | relaxed

Summary:
total magnetization: 1.55 μB per cell
crystal system: monoclinic
symmetry: C2/m
total energy: -20.4 eV/cell

Structure (POSCAR):
```
AlInCo2
1.0
4.293 -0.003 -0.004
3.327 2.713 -0.004
1.045 0.372 4.973
In Co Al
1 2 1
Direct
0.750 0.750 0.750 In
0.992 0.992 0.047 Co
0.508 0.508 0.453 Co
0.250 0.250 0.250 Al
```

Record 12
AlIn2Co | PBE-GGA | relaxed

Summary:
total magnetization: 0.86 μB per cell
crystal system: cubic
symmetry: F-43m
total energy: -14.7 eV/cell

Structure (POSCAR):
```
AlIn2Co
1.0
4.724 0.000 0.000
2.362 4.091 0.000
2.362 1.364 3.857
Co In Al
1 2 1
Direct
0.750 0.750 0.750 Co
0.250 0.250 0.250 In
0.000 0.000 0.000 In
0.500 0.500 0.500 Al
```

- What is the formula in the second record?
  AlCoSbI2

- What is the formula in the tenth record?
  AlCoTeI2

- The highest total magnetization belongs to which entry?
  number 9